1.
Computed, not measured: a relaxed Pr4Th3NbN8 crystal at the PBE level of DFT.

The value obtained for the volume is 792.3 Å³ per cell. The value obtained for the uncorrected formation energy is -1353 meV/atom.

CIF file:
```
data_Pr4Th3NbN8
_cell_length_a 7.1826
_cell_length_b 7.1826
_cell_length_c 17.7349
_cell_angle_alpha 90.00
_cell_angle_beta 90.00
_cell_angle_gamma 120.00
_symmetry_space_group_name_H-M 'R -3 m'
_symmetry_Int_Tables_number 166
_symmetry_space_group_name_Hall '-R 3 2"'
loop_
_atom_site_label
_atom_site_type_symbol
_atom_site_fract_x
_atom_site_fract_y
_atom_site_fract_z
Pr1 Pr 0.0000 0.0000 0.0000
Pr2 Pr 0.0000 0.5000 0.0000
Th1 Th 0.0000 0.5000 0.5000
Nb1 Nb 0.0000 0.0000 0.5000
N1 N 0.0000 0.0000 0.2438
N2 N 0.0262 0.5131 0.2380
```

=====

2.
Computed, not measured: a relaxed Ca2NdHo crystal at the PBE level of DFT.

The calculation puts the offset from the most stable computed form at 0.09 eV per formula unit. Its formation energy from the elements is 0.1124 eV per atom. The value obtained for the volume is 436.0 Å³ per cell.

CIF file:
```
data_Ca2NdHo
_cell_length_a 3.6918
_cell_length_b 3.6918
_cell_length_c 36.9399
_cell_angle_alpha 90.00
_cell_angle_beta 90.00
_cell_angle_gamma 120.00
_symmetry_space_group_name_H-M 'R 3 m'
_symmetry_Int_Tables_number 160
_symmetry_space_group_name_Hall 'R 3 -2"'
loop_
_atom_site_label
_atom_site_type_symbol
_atom_site_fract_x
_atom_site_fract_y
_atom_site_fract_z
Ca1 Ca 0.0000 0.0000 0.0000
Ca2 Ca 0.0000 0.0000 0.1632
Nd1 Nd 0.0000 0.0000 0.5816
Ho1 Ho 0.0000 0.0000 0.4152
```